Version a
Density functional theory data (GGA-PBE) for a geometry-optimized InTcI3 structure.

Results
**Calculated density**: 4.60 g/cm³
**Crystal system**: cubic

Lattice parameters (Å, degrees): 5.984 5.984 5.984 90.00 90.00 90.00
Space group Pm-3m (No. 221)
Symmetry-distinct sites (fractional):
In 0.000 0.000 0.000 [1 per cell]
Tc 0.500 0.500 0.500 [1 per cell]
I 0.000 0.000 0.500 [3 per cell]


Version b
Density functional theory data (GGA-PBE) for a geometry-optimized InTcI3 structure.

Results
**Calculated density**: 5.50 g/cm³
**Crystal system**: cubic

Lattice parameters (Å, degrees): 5.637 5.637 5.637 90.00 90.00 90.00
Space group Pm-3m (No. 221)
Symmetry-distinct sites (fractional):
In 0.000 0.000 0.000 [1 per cell]
Tc 0.500 0.500 0.500 [1 per cell]
I 0.000 0.500 0.500 [3 per cell]


Tell me which of them is the least stable. Sure, it is version a.


Version a
Density functional theory data (GGA-PBE) for a geometry-optimized InTcTe2I structure.

Results
**Calculated density**: 5.29 g/cm³
**Crystal system**: tetragonal

Lattice parameters (Å, degrees): 5.679 5.679 5.788 90.00 90.00 90.00
Space group P4/mmm (No. 123)
Symmetry-distinct sites (fractional):
In 0.000 0.000 0.000 [1 per cell]
Tc 0.500 0.500 0.500 [1 per cell]
Te 0.000 0.500 0.000 [2 per cell]
I 0.000 0.000 0.500 [1 per cell]


Version b
Density functional theory data (GGA-PBE) for a geometry-optimized InTcTe2I structure.

Results
**Calculated density**: 6.17 g/cm³
**Crystal system**: tetragonal

Lattice parameters (Å, degrees): 5.193 5.193 5.941 90.00 90.00 90.00
Space group P4/mmm (No. 123)
Symmetry-distinct sites (fractional):
In 0.000 0.000 0.000 [1 per cell]
Tc 0.500 0.500 0.500 [1 per cell]
Te 0.000 0.500 0.500 [2 per cell]
I 0.500 0.500 0.000 [1 per cell]


Tell me which of them is the least stable. Sure, it is version a.


Version a
Density functional theory data (GGA-PBE) for a geometry-optimized InTcTeI2 structure.

Results
**Calculated density**: 5.04 g/cm³
**Crystal system**: tetragonal

Lattice parameters (Å, degrees): 5.802 5.802 5.815 90.00 90.00 90.00
Space group P4/mmm (No. 123)
Symmetry-distinct sites (fractional):
In 0.000 0.000 0.000 [1 per cell]
Tc 0.500 0.500 0.500 [1 per cell]
Te 0.000 0.000 0.500 [1 per cell]
I 0.000 0.500 0.000 [2 per cell]


Version b
Density functional theory data (GGA-PBE) for a geometry-optimized InTcTeI2 structure.

Results
**Calculated density**: 5.92 g/cm³
**Crystal system**: tetragonal

Lattice parameters (Å, degrees): 5.740 5.740 5.060 90.00 90.00 90.00
Space group P4/mmm (No. 123)
Symmetry-distinct sites (fractional):
In 0.000 0.000 0.000 [1 per cell]
Tc 0.500 0.500 0.500 [1 per cell]
Te 0.500 0.500 0.000 [1 per cell]
I 0.000 0.500 0.500 [2 per cell]


Tell me which of them is the least stable. Sure, it is version a.


Version a
Density functional theory data (GGA-PBE) for a geometry-optimized InTeI2 structure.

Results
**Calculated density**: 4.77 g/cm³
**Crystal system**: tetragonal

Lattice parameters (Å, degrees): 5.773 5.773 20.714 90.00 90.00 90.00
Space group I-42d (No. 122)
Symmetry-distinct sites (fractional):
In 0.000 0.000 0.000 [4 per cell]
Te 0.000 0.000 0.500 [4 per cell]
I 0.214 0.250 0.625 [8 per cell]


Version b
Density functional theory data (GGA-PBE) for a geometry-optimized InTeI2 structure.

Results
**Calculated density**: 4.96 g/cm³
**Crystal system**: monoclinic

Lattice parameters (Å, degrees): 8.203 5.770 16.250 90.00 120.29 90.00
Space group P2_1/c (No. 14)
Symmetry-distinct sites (fractional):
In 0.189 0.000 0.440 [4 per cell]
Te 0.067 0.249 0.750 [4 per cell]
I 0.166 0.744 0.586 [4 per cell]
I 0.493 0.744 0.414 [4 per cell]


Tell me which of them is the least stable. Sure, it is version a.


Version a
Density functional theory data (GGA-PBE) for a geometry-optimized InTeI3 structure.

Results
**Calculated density**: 4.45 g/cm³
**Crystal system**: cubic

Lattice parameters (Å, degrees): 6.151 6.151 6.151 90.00 90.00 90.00
Space group Pm-3m (No. 221)
Symmetry-distinct sites (fractional):
In 0.000 0.000 0.000 [1 per cell]
Te 0.500 0.500 0.500 [1 per cell]
I 0.000 0.500 0.500 [3 per cell]


Version b
Density functional theory data (GGA-PBE) for a geometry-optimized InTeI3 structure.

Results
**Calculated density**: 4.94 g/cm³
**Crystal system**: triclinic

Lattice parameters (Å, degrees): 7.295 8.138 8.143 119.96 90.02 90.03
Space group P-1 (No. 2)
Symmetry-distinct sites (fractional):
In 0.000 0.000 0.000 [1 per cell]
In 0.500 0.000 0.000 [1 per cell]
Te 0.250 0.334 0.668 [2 per cell]
I 0.250 0.334 0.167 [2 per cell]
I 0.250 0.833 0.167 [2 per cell]
I 0.250 0.833 0.666 [2 per cell]


Tell me which of them is the least stable. Sure, it is version b.


Version a
Density functional theory data (GGA-PBE) for a geometry-optimized In2Te2I structure.

Results
**Calculated density**: 4.78 g/cm³
**Crystal system**: monoclinic

Lattice parameters (Å, degrees): 15.505 6.229 4.610 90.00 107.15 90.00
Space group C2/m (No. 12)
Symmetry-distinct sites (fractional):
In 0.200 0.000 0.202 [4 per cell]
Te 0.178 0.500 0.178 [4 per cell]
I 0.000 0.000 0.000 [2 per cell]


Version b
Density functional theory data (GGA-PBE) for a geometry-optimized In2Te2I structure.

Results
**Calculated density**: 5.72 g/cm³
**Crystal system**: tetragonal

Lattice parameters (Å, degrees): 5.220 5.220 13.028 90.00 90.00 90.00
Space group I4/mmm (No. 139)
Symmetry-distinct sites (fractional):
In 0.000 0.500 0.250 [4 per cell]
Te 0.000 0.000 0.140 [4 per cell]
I 0.000 0.000 0.500 [2 per cell]


Version c
Density functional theory data (GGA-PBE) for a geometry-optimized In2Te2I structure.

Results
**Calculated density**: 4.15 g/cm³
**Crystal system**: tetragonal

Lattice parameters (Å, degrees): 9.055 9.055 11.937 90.00 90.00 90.00
Space group I4_1md (No. 109)
Symmetry-distinct sites (fractional):
In 0.000 0.300 0.000 [8 per cell]
Te 0.000 0.252 0.761 [8 per cell]
I 0.000 0.000 0.096 [4 per cell]


Version d
Density functional theory data (GGA-PBE) for a geometry-optimized In2Te2I structure.

Results
**Calculated density**: 6.70 g/cm³
**Crystal system**: tetragonal

Lattice parameters (Å, degrees): 8.792 8.792 3.921 90.00 90.00 90.00
Space group P4/mbm (No. 127)
Symmetry-distinct sites (fractional):
In 0.158 0.342 0.000 [4 per cell]
Te 0.144 0.644 0.500 [4 per cell]
I 0.000 0.000 0.000 [2 per cell]


Tell me which of them is the least stable. Sure, it is version d.